DFT (PBE) results for an optimized crystal structure of LuCdNiBi.

a = 7.0120 Å, b = 7.0120 Å, c = 7.0120 Å
α = 90.00°, β = 90.00°, γ = 90.00°
With the nearest neighbours (Å) after each atom.
Space group F-43m (No. 216)
Symmetry-distinct sites (fractional):
1 Lu 0.0000 0.0000 0.0000  4 Cd 3.04, 4 Bi 3.04
2 Cd 0.2500 0.2500 0.7500  4 Ni 3.04, 4 Lu 3.04
3 Ni 0.0000 0.0000 0.5000  4 Cd 3.04, 4 Bi 3.04
4 Bi 0.2500 0.2500 0.2500  4 Ni 3.04, 4 Lu 3.04

## Properties
DFT total energy = -3.817 eV per atom

---

DFT (PBE) results for an optimized crystal structure of TbEr2Sn3Pd3.

a = 3.9953 Å, b = 13.0372 Å, c = 7.4990 Å
α = 90.00°, β = 90.00°, γ = 90.00°
With the nearest neighbours (Å) after each atom.
Space group Amm2 (No. 38)
Symmetry-distinct sites (fractional):
1 Tb 0.0000 0.0000 0.0000  5 Pd 3.04-3.08, 6 Sn 3.20-3.35
2 Er 0.0000 0.2040 0.3876  5 Pd 3.02-3.06, 6 Sn 3.21-3.35
3 Sn 0.5000 0.0000 0.3335  4 Pd 2.77-2.84
4 Sn 0.5000 0.1292 0.7200  4 Pd 2.79-2.84
5 Pd 0.0000 0.0000 0.5898  6 Sn 2.77-2.79, 2 Er 3.06, 1 Tb 3.08
6 Pd 0.5000 0.1681 0.0921  3 Sn 2.81-2.84, 4 Er 3.02, 2 Tb 3.04

## Properties
DFT total energy = -5.524 eV per atom

---

DFT (PBE) results for an optimized crystal structure of NbNiOsPb.

a = 6.4521 Å, b = 6.4521 Å, c = 6.4521 Å
α = 90.00°, β = 90.00°, γ = 90.00°
With the nearest neighbours (Å) after each atom.
Space group F-43m (No. 216)
Symmetry-distinct sites (fractional):
1 Nb 0.0000 0.0000 0.0000  4 Pb 2.79, 4 Os 2.79
2 Ni 0.0000 0.0000 0.5000  4 Os 2.79, 4 Pb 2.79
3 Os 0.2500 0.2500 0.7500  4 Nb 2.79, 4 Ni 2.79
4 Pb 0.2500 0.2500 0.2500  4 Nb 2.79, 4 Ni 2.79

## Properties
DFT total energy = -7.148 eV per atom

---

DFT (PBE) results for an optimized crystal structure of TaGaNO.

a = 3.8867 Å, b = 3.8867 Å, c = 6.5924 Å
α = 90.00°, β = 90.00°, γ = 90.00°
With the nearest neighbours (Å) after each atom.
Space group P4/nmm (No. 129, origin choice 2)
Symmetry-distinct sites (fractional):
1 Ta 0.2500 0.7500 0.0000  4 N 2.09
2 Ga 0.2500 0.2500 0.3834  4 O 2.09
3 N 0.2500 0.2500 0.8826  4 Ta 2.09
4 O 0.2500 0.7500 0.5000  4 Ga 2.09

## Properties
DFT total energy = -7.851 eV per atom

---

DFT (PBE) results for an optimized crystal structure of BTe2Ir.

a = 6.6926 Å, b = 6.6926 Å, c = 6.6926 Å
α = 90.00°, β = 90.00°, γ = 90.00°
With the nearest neighbours (Å) after each atom.
Space group F-43m (No. 216)
Symmetry-distinct sites (fractional):
1 B 0.0000 0.0000 0.0000  4 Te 2.90, 4 Ir 2.90
2 Te 0.0000 0.0000 0.5000  4 Te 2.90, 4 Ir 2.90
3 Te 0.2500 0.2500 0.7500  4 B 2.90, 4 Te 2.90
4 Ir 0.2500 0.2500 0.2500  4 Te 2.90, 4 B 2.90

## Properties
DFT total energy = -4.041 eV per atom

---

DFT (PBE) results for an optimized crystal structure of HoEr3Tl2C2.

a = 3.5814 Å, b = 3.5814 Å, c = 16.1571 Å
α = 90.00°, β = 90.00°, γ = 120.00°
With the nearest neighbours (Å) after each atom.
Space group P3m1 (No. 156)
Symmetry-distinct sites (fractional):
1 Ho 0.0000 0.0000 0.0000  3 C 2.47
2 Er 0.0000 0.0000 0.6655  3 C 2.46
3 Er 0.6667 0.3333 0.1661  3 C 2.46
4 Er 0.6667 0.3333 0.5001  3 C 2.46
5 Tl 0.0000 0.0000 0.3329  6 Er 3.40, 6 Tl 3.58
6 Tl 0.6667 0.3333 0.8324  3 Er 3.40, 3 Ho 3.41, 6 Tl 3.58
7 C 0.3333 0.6667 0.0832  3 Er 2.46, 3 Ho 2.47
8 C 0.3333 0.6667 0.5828  6 Er 2.46

## Properties
DFT total energy = -5.579 eV per atom

---

DFT (PBE) results for an optimized crystal structure of KCo2AsP.

a = 3.7284 Å, b = 3.7284 Å, c = 13.4630 Å
α = 90.00°, β = 90.00°, γ = 90.00°
With the nearest neighbours (Å) after each atom.
Space group I4mm (No. 107)
Symmetry-distinct sites (fractional):
1 K 0.0000 0.0000 0.0000  4 P 3.35, 4 As 3.39, 4 Co 3.71, 4 K 3.73
2 Co 0.0000 0.5000 0.2618  2 P 2.18, 2 As 2.33
3 As 0.0000 0.0000 0.6584  4 Co 2.33
4 P 0.0000 0.0000 0.3462  4 Co 2.18

## Properties
DFT total energy = -5.582 eV per atom

---

DFT (PBE) results for an optimized crystal structure of NdDyTl.

a = 7.4118 Å, b = 7.4118 Å, c = 7.4118 Å
α = 90.00°, β = 90.00°, γ = 90.00°
With the nearest neighbours (Å) after each atom.
Space group F-43m (No. 216)
Symmetry-distinct sites (fractional):
1 Nd 0.0000 0.0000 0.0000  4 Tl 3.21
2 Dy 0.0000 0.0000 0.5000  4 Tl 3.21
3 Tl 0.2500 0.2500 0.7500  4 Dy 3.21, 4 Nd 3.21

## Properties
DFT total energy = -3.948 eV per atom

---

DFT (PBE) results for an optimized crystal structure of RbLuCuSe3.

a = 9.3581 Å, b = 4.0202 Å, c = 9.8363 Å
α = 90.00°, β = 112.04°, γ = 90.00°
With the nearest neighbours (Å) after each atom.
Space group P2_1/m (No. 11)
Symmetry-distinct sites (fractional):
1 Rb 0.2132 0.2500 0.2441  7 Se 3.46-3.60
2 Lu 0.3262 0.7500 0.8579  6 Se 2.80-2.88
3 Cu 0.0824 0.2500 0.6039  4 Se 2.43-2.45
4 Se 0.1194 0.2500 0.8620  1 Cu 2.43
5 Se 0.1957 0.7500 0.5416  3 Cu 2.45
6 Se 0.4716 0.7500 0.1637  3 Lu 2.80-2.82

## Properties
DFT total energy = -4.451 eV per atom

---

DFT (PBE) results for an optimized crystal structure of SiW4AuC2.

a = 3.1237 Å, b = 3.1237 Å, c = 12.9167 Å
α = 90.00°, β = 90.00°, γ = 120.00°
With the nearest neighbours (Å) after each atom.
Space group P-6m2 (No. 187)
Symmetry-distinct sites (fractional):
1 Si 0.0000 0.0000 0.0000  6 W 2.60
2 W 0.0000 0.0000 0.3219  3 C 2.10
3 W 0.3333 0.6667 0.1445  3 C 2.17
4 Au 0.3333 0.6667 0.5000  6 W 2.92, 6 Au 3.12
5 C 0.6667 0.3333 0.2385  6 W 2.10-2.17

## Properties
DFT total energy = -9.733 eV per atom

---

DFT (PBE) results for an optimized crystal structure of CsTmPa.

a = 7.4692 Å, b = 7.4692 Å, c = 7.4692 Å
α = 90.00°, β = 90.00°, γ = 90.00°
With the nearest neighbours (Å) after each atom.
Space group F-43m (No. 216)
Symmetry-distinct sites (fractional):
1 Cs 0.0000 0.0000 0.0000  4 Pa 3.23, 4 Tm 3.23
2 Tm 0.2500 0.2500 0.7500  4 Cs 3.23
3 Pa 0.2500 0.2500 0.2500  4 Cs 3.23

## Properties
DFT total energy = -3.048 eV per atom

---

DFT (PBE) results for an optimized crystal structure of HfTe3Pd4.

a = 7.5977 Å, b = 8.8937 Å, c = 6.0590 Å
α = 90.00°, β = 127.35°, γ = 90.00°
With the nearest neighbours (Å) after each atom.
Space group Cm (No. 8)
Symmetry-distinct sites (fractional):
1 Hf 0.0000 0.0000 0.0000  4 Pd 2.74-2.88, 2 Te 3.04-3.05
2 Te 0.4214 0.0000 0.0148  4 Pd 2.68-2.84
3 Te 0.4342 0.5000 0.4466  6 Pd 2.93-3.00, 2 Hf 3.04-3.08, 2 Te 3.11-3.18
4 Te 0.4976 0.0000 0.5711  2 Pd 2.68
5 Pd 0.1534 0.2429 0.3477  1 Hf 2.74, 4 Te 2.84-3.01, 2 Pd 2.99-3.02
6 Pd 0.1665 0.2451 0.8642  3 Te 2.68-2.97, 1 Hf 2.88, 1 Pd 2.99

## Properties
DFT total energy = -5.242 eV per atom

---

Q: Which of these has the lowest DFT total energy?
A: SiW4AuC2

---

Copy entry 7 word for word.
DFT (PBE) results for an optimized crystal structure of KCo2AsP.

a = 3.7284 Å, b = 3.7284 Å, c = 13.4630 Å
α = 90.00°, β = 90.00°, γ = 90.00°
With the nearest neighbours (Å) after each atom.
Space group I4mm (No. 107)
Symmetry-distinct sites (fractional):
1 K 0.0000 0.0000 0.0000  4 P 3.35, 4 As 3.39, 4 Co 3.71, 4 K 3.73
2 Co 0.0000 0.5000 0.2618  2 P 2.18, 2 As 2.33
3 As 0.0000 0.0000 0.6584  4 Co 2.33
4 P 0.0000 0.0000 0.3462  4 Co 2.18

## Properties
DFT total energy = -5.582 eV per atom